# Cr2Ni15Rh2 (PBE-GGA, relaxed)
# Theoretical density   8.72 g/cm3
# D(E_F)   30.13 states/eV/f.u.
# M_tot   10.51 μB/f.u.
# Energy relative to the elements   0.191 eV/atom
data_Cr2Ni15Rh2
_chemical_formula_sum 'Cr6 Ni45 Rh6'
_symmetry_space_group_name_H-M 'R -3 m'
_symmetry_Int_Tables_number 166
_symmetry_space_group_name_Hall '-R 3 2"'
_cell_length_a 8.0130
_cell_length_b 8.0130
_cell_length_c 12.2347
_cell_angle_alpha 90.00
_cell_angle_beta 90.00
_cell_angle_gamma 120.00
loop_
_atom_site_label
_atom_site_type_symbol
_atom_site_fract_x
_atom_site_fract_y
_atom_site_fract_z
_atom_site_occupancy
Cr1 Cr 0.0000 0.0000 0.0832 1
Ni1 Ni 0.0000 0.3159 0.0000 1
Ni2 Ni 0.0000 0.5000 0.5000 1
Ni3 Ni 0.0023 0.5012 0.1576 1
Rh1 Rh 0.0000 0.0000 0.3020 1